# CrPt2

A relaxed CrPt2 crystal (PBE, Alexandria).

a = 3.879 Å, b = 3.879 Å, c = 12.228 Å
α = 99.13°, β = 99.13°, γ = 90.00°
Each line ends with the local moment (μB).
Fractional positions:
Cr 0.081 0.081 0.162  2.79
Cr 0.919 0.919 0.838  2.79
Cr 0.331 0.831 0.662  2.79
Cr 0.169 0.669 0.338  2.79
Pt 0.251 0.251 0.502  0.01
Pt 0.749 0.749 0.498  0.01
Pt 0.501 0.001 0.002  0.01
Pt 0.999 0.499 0.998  0.01
Pt 0.415 0.415 0.830  0.01
Pt 0.585 0.585 0.170  0.01
Pt 0.665 0.165 0.330  0.01
Pt 0.835 0.335 0.670  0.01

Space group: I4_1/amd (141)
ΔH_f (0 K) in meV/atom: -233

---

# Er2ScU2Ru5

A relaxed Er2ScU2Ru5 crystal (PBE, Alexandria).

a = 3.494 Å, b = 10.510 Å, c = 10.510 Å
α = 90.00°, β = 90.00°, γ = 90.00°
Fractional positions:
Er 0.000 0.671 0.171
Er 0.000 0.329 0.829
Er 0.000 0.171 0.329
Er 0.000 0.829 0.671
Sc 0.000 0.000 0.000
Sc 0.000 0.500 0.500
U 0.000 0.140 0.640
U 0.000 0.860 0.360
U 0.000 0.640 0.860
U 0.000 0.360 0.140
Ru 0.500 0.205 0.053
Ru 0.500 0.795 0.947
Ru 0.500 0.053 0.795
Ru 0.500 0.705 0.447
Ru 0.500 0.947 0.205
Ru 0.500 0.295 0.553
Ru 0.500 0.553 0.705
Ru 0.500 0.447 0.295
Ru 0.500 0.500 0.000
Ru 0.500 0.000 0.500

Space group: P4/mbm (127)
ΔH_f (0 K) in meV/atom: -296

---

# La12TbEr7

A relaxed La12TbEr7 crystal (PBE, Alexandria).

a = 8.847 Å, b = 8.847 Å, c = 8.847 Å
α = 89.48°, β = 89.48°, γ = 89.48°
Fractional positions:
La 0.853 0.266 0.718
La 0.734 0.282 0.147
La 0.609 0.144 0.481
La 0.856 0.519 0.391
La 0.282 0.147 0.734
La 0.519 0.391 0.856
La 0.481 0.609 0.144
La 0.718 0.853 0.266
La 0.144 0.481 0.609
La 0.391 0.856 0.519
La 0.266 0.718 0.853
La 0.147 0.734 0.282
Tb 0.000 0.000 0.000
Er 0.859 0.624 0.940
Er 0.376 0.060 0.141
Er 0.060 0.141 0.376
Er 0.500 0.500 0.500
Er 0.940 0.859 0.624
Er 0.624 0.940 0.859
Er 0.141 0.376 0.060

Space group: R-3 (148)
ΔH_f (0 K) in meV/atom: 195

---

# Sm4Er3Tm8

A relaxed Sm4Er3Tm8 crystal (PBE, Alexandria).

a = 6.664 Å, b = 9.225 Å, c = 9.225 Å
α = 87.89°, β = 111.29°, γ = 111.29°
Fractional positions:
Sm 0.500 0.000 0.000
Sm 0.000 0.500 0.000
Sm 0.000 0.000 0.000
Sm 0.000 0.000 0.500
Er 0.500 0.500 0.000
Er 0.500 0.000 0.500
Er 0.500 0.500 0.500
Tm 0.522 0.267 0.267
Tm 0.000 0.636 0.364
Tm 0.004 0.269 0.269
Tm 0.500 0.746 0.254
Tm 0.500 0.254 0.746
Tm 0.996 0.731 0.731
Tm 0.000 0.364 0.636
Tm 0.478 0.733 0.733

Space group: C2/m (12)
ΔH_f (0 K) in meV/atom: 387
ΔE to the lowest computed polymorph in meV/atom: 259

---

# TeIrIO2

A relaxed TeIrIO2 crystal (PBE, Alexandria).

a = 3.960 Å, b = 3.960 Å, c = 8.015 Å
α = 90.00°, β = 90.00°, γ = 90.00°
Each line ends with the local moment (μB).
Fractional positions:
I 0.000 0.000 0.500  0.00
Ir 0.000 0.000 0.000  0.32
Te 0.500 0.500 0.500  0.00
O 0.000 0.500 0.000  0.10
O 0.500 0.000 0.000  0.10

Space group: P4/mmm (123)
Energy relative to the elements, uncorrected in eV/atom: 0.186
ΔE to the lowest computed polymorph in meV/atom: 0

---

# KReI3

A relaxed KReI3 crystal (PBE, Alexandria).

a = 6.468 Å, b = 6.468 Å, c = 6.468 Å
α = 90.00°, β = 90.00°, γ = 90.00°
Each line ends with the local moment (μB).
Fractional positions:
I 0.000 0.500 0.000  -0.19
I 0.000 0.000 0.500  -0.11
I 0.500 0.000 0.000  -0.17
Re 0.500 0.500 0.500  4.53
K 0.000 0.000 0.000  0.00

Space group: Pm-3m (221)
Energy relative to the elements, uncorrected in eV/atom: 1.092
ΔE to the lowest computed polymorph in meV/atom: 1062

---

# ScTl2Ag

A relaxed ScTl2Ag crystal (PBE, Alexandria).

a = 5.705 Å, b = 5.705 Å, c = 5.705 Å
α = 134.60°, β = 134.55°, γ = 66.19°
Fractional positions:
Ag 0.500 0.500 0.000
Sc 0.250 0.750 0.500
Tl 0.000 0.000 0.000
Tl 0.750 0.250 0.500

Space group: Imm2 (44)
ΔH_f (0 K) in meV/atom: -50

---

# TaBrCl2

A relaxed TaBrCl2 crystal (PBE, Alexandria).

a = 7.519 Å, b = 7.519 Å, c = 5.021 Å
α = 69.75°, β = 69.75°, γ = 24.05°
Each line ends with the local moment (μB).
Fractional positions:
Cl 0.891 0.891 0.104  0.00
Cl 0.609 0.609 0.396  0.00
Br 0.750 0.750 0.750  0.00
Ta 0.250 0.250 0.250  0.13

Space group: C2/m (12)
Energy relative to the elements, uncorrected in eV/atom: -0.633
ΔE to the lowest computed polymorph in meV/atom: 362